# YAl2Sn

A geometry-optimized YAl2Sn structure (PBE, Alexandria).

Cell lengths 8.0539, 8.0539, 6.4423 Å; angles 51.31, 51.31, 90.00 degrees
With the nearest neighbours (Å) after each atom.
Positions (direct):
Y (0.5000, 0.5000, 0.0000)  2 Sn 3.01, 4 Al 3.14
Y (0.2500, 0.7500, 0.5000)  2 Sn 3.01, 4 Al 3.14
Sn (0.0000, 0.0000, 0.0000)  4 Al 2.77, 2 Y 3.01
Sn (0.7500, 0.2500, 0.5000)  4 Al 2.77, 2 Y 3.01
Al (0.6586, 0.1250, 0.2500)  2 Sn 2.77, 2 Al 3.06
Al (0.0914, 0.6250, 0.2500)  2 Sn 2.77, 2 Al 3.06
Al (0.3750, 0.3414, 0.7500)  2 Sn 2.77, 2 Al 3.06
Al (0.8750, 0.9086, 0.7500)  2 Sn 2.77, 2 Al 3.06

Symmetry: I-42d, No. 122
ΔH_f (0 K), eV per atom: -0.1001
Mass density, g/cm3: 4.45


# YAlSn3

A geometry-optimized YAlSn3 structure (PBE, Alexandria).

Cell lengths 5.7570, 5.7570, 5.7570 Å; angles 90.00, 90.00, 90.00 degrees
With the nearest neighbours (Å) after each atom.
Positions (direct):
Y (0.0000, 0.0000, 0.0000)  6 Sn 2.88
Sn (0.0000, 0.5000, 0.0000)  2 Y 2.88
Sn (0.0000, 0.0000, 0.5000)  2 Y 2.88
Sn (0.5000, 0.0000, 0.0000)  2 Y 2.88
Al (0.5000, 0.5000, 0.5000)  12 Sn 4.07

Symmetry: Pm-3m, No. 221
ΔH_f (0 K), eV per atom: 0.6150
Mass density, g/cm3: 4.11